[1]
SeI3 PBE-GGA relaxed; magnetization = 0.0 μB per formula unit; raw total energy = -1.380 eV/atom; calculated volume = 31.162 Å³/atom
1.0
2.4837 1.3647 4.8381
-2.4510 3.6527 3.4769
-2.1628 -1.7735 4.8596
Se I
1 3
direct
0.0000 0.0000 0.0000
0.2500 0.2500 0.2500
0.7500 0.7500 0.7500
0.5000 0.5000 0.5000

---

[2]
SeI3 PBE-GGA relaxed; magnetization = 0.0 μB per formula unit; raw total energy = -1.987 eV/atom; calculated volume = 51.440 Å³/atom
1.0
-6.3478 -2.4886 0.9487
0.9031 -3.8305 -5.9025
4.3089 -3.9702 7.0478
Se I
2 6
direct
0.6483 0.2063 0.0686
0.7316 0.7208 0.5735
0.8164 0.8250 0.9059
0.4660 0.3167 0.5533
0.1076 0.5034 0.5545
0.8944 0.0609 0.5704
0.6121 0.5931 0.2286
0.2869 0.0454 0.0043

---

[3]
SeI3 PBE-GGA relaxed; magnetization = 0.0 μB per formula unit; raw total energy = -2.010 eV/atom; calculated volume = 50.530 Å³/atom
1.0
-2.5809 4.6994 -0.9313
-1.9513 -0.1477 8.4021
9.4702 1.8701 -1.2922
I Se
6 2
direct
0.2700 0.3078 0.9173
0.8782 0.6788 0.2804
0.5852 0.3705 0.2552
0.4974 0.6706 0.7414
0.1700 0.9860 0.2813
0.0088 0.2904 0.6160
0.8940 0.9212 0.8432
0.2278 0.8482 0.9933

---

[4]
Se4I5 PBE-GGA relaxed; magnetization = 0.0 μB per formula unit; raw total energy = -2.335 eV/atom; calculated volume = 49.183 Å³/atom
1.0
4.5207 0.0000 0.0000
2.2604 15.7122 1.0159
2.2604 5.8529 6.6102
I Se
5 4
direct
0.0000 0.0000 0.0000
0.7487 0.7315 0.7710
0.0705 0.2595 0.5995
0.2513 0.2685 0.2290
0.9295 0.7405 0.4005
0.4008 0.2701 0.9282
0.4310 0.4827 0.6552
0.5992 0.7299 0.0718
0.5690 0.5173 0.3448

---

[5]
SeI3 PBE-GGA relaxed; magnetization = 0.0 μB per formula unit; raw total energy = -2.054 eV/atom; calculated volume = 50.679 Å³/atom
1.0
-0.5964 2.1312 5.1720
-7.7862 -4.4165 0.9583
-0.1016 -7.9498 4.8038
I Se
6 2
direct
0.9280 0.7414 0.0391
0.0936 0.1103 0.3045
0.3330 0.7800 0.4392
0.6711 0.0626 0.9216
0.6711 0.5390 0.9212
0.3330 0.3047 0.4395
0.5696 0.4932 0.5365
0.4230 0.3445 0.8351

---

[6]
SeI3 PBE-GGA relaxed; magnetization = 0.0 μB per formula unit; raw total energy = -1.849 eV/atom; calculated volume = 41.366 Å³/atom
1.0
-2.0740 -2.0404 -2.3770
6.4280 -0.0958 -5.5264
-0.3749 -3.2936 6.1234
Se I
1 3
direct
0.0000 0.9113 0.0000
0.2996 0.7194 0.5991
0.7004 0.1203 0.4009
0.5000 0.4156 0.0000

---

[7]
SeI2 PBE-GGA relaxed; magnetization = 0.0 μB per formula unit; raw total energy = -2.110 eV/atom; calculated volume = 47.770 Å³/atom
1.0
-7.7373 3.1645 1.6814
-3.3030 -7.8497 -0.4257
0.6426 -0.4797 3.8597
Se I
2 4
direct
0.0000 0.0000 0.0000
0.5000 0.5000 0.5000
0.3326 0.3326 0.0000
0.6674 0.6674 0.0000
0.1674 0.8326 0.5000
0.8326 0.1674 0.5000

---

[8]
SeI3 PBE-GGA relaxed; magnetization = 0.0 μB per formula unit; raw total energy = -1.974 eV/atom; calculated volume = 56.787 Å³/atom
1.0
-5.4900 -3.1767 2.6195
2.9877 -0.9295 6.6245
-2.7649 7.1432 5.9715
I Se
6 2
direct
0.4062 0.7504 0.3421
0.6209 0.8947 0.5613
0.9518 0.3308 0.9223
0.0763 0.2402 0.3317
0.0032 0.3102 0.6355
0.5380 0.5078 0.0309
0.2318 0.6431 0.1568
0.9843 0.8638 0.4560

---

[9]
SeI3 PBE-GGA relaxed; magnetization = 0.0 μB per formula unit; raw total energy = -2.047 eV/atom; calculated volume = 58.919 Å³/atom
1.0
-0.4426 -1.8570 6.5056
-6.1721 -6.0147 -1.8553
3.7045 -7.9634 1.4395
I Se
6 2
direct
0.6062 0.0933 0.4706
0.7702 0.6617 0.8382
0.4936 0.5541 0.2082
0.4946 0.5468 0.6867
0.0311 0.9669 0.3208
0.1284 0.0888 0.9469
0.2114 0.1821 0.6103
0.2420 0.4695 0.5426

---

[10]
SeI3 PBE-GGA relaxed; magnetization = 0.0 μB per formula unit; raw total energy = -1.950 eV/atom; calculated volume = 48.764 Å³/atom
1.0
4.6310 0.0005 0.0015
1.7055 6.3168 -0.0005
0.5056 2.4184 6.6680
I Se
3 1
direct
0.6566 0.5138 0.1992
0.8430 0.1179 0.0368
0.1331 0.6959 0.6238
0.4917 0.8569 0.3380

---

[11]
SeI3 PBE-GGA relaxed; magnetization = 0.0 μB per formula unit; raw total energy = -2.012 eV/atom; calculated volume = 54.494 Å³/atom
1.0
6.3246 0.0000 0.0000
-0.0136 8.5878 0.0000
-0.6306 -4.1589 8.0264
Se I
2 6
direct
0.1786 0.7840 0.1908
0.2860 0.4829 0.0445
0.5062 0.9931 0.3349
0.8156 0.3487 0.5123
0.0928 0.8928 0.9339
0.0163 0.0379 0.7121
0.5380 0.4540 0.8125
0.5442 0.4432 0.2714

---

[12]
SeI3 PBE-GGA relaxed; magnetization = 0.0 μB per formula unit; raw total energy = -1.968 eV/atom; calculated volume = 57.968 Å³/atom
1.0
5.1918 0.0000 0.0000
1.9158 5.9444 0.0000
1.9344 1.3321 7.5131
Se I
1 3
direct
0.8203 0.8189 0.1896
0.1597 0.9686 0.9064
0.1346 0.4399 0.3294
0.5032 0.9572 0.5146